## P
DFT (PBE with a Hubbard U) results for crystalline CoTeNO at its relaxed geometry.

Geometry as CIF:
```
data_CoTeNO
_cell_length_a 5.647
_cell_length_b 7.882
_cell_length_c 5.204
_cell_angle_alpha 90.00
_cell_angle_beta 90.00
_cell_angle_gamma 90.00
_symmetry_space_group_name_H-M 'P 1'
_symmetry_Int_Tables_number 1
loop_
_symmetry_equiv_pos_as_xyz
'x,y,z'
loop_
_atom_site_label
_atom_site_type_symbol
_atom_site_fract_x
_atom_site_fract_y
_atom_site_fract_z
Co1 Co 0.060 0.093 0.000
Co2 Co 0.440 0.093 0.500
Co3 Co 0.560 0.907 0.000
Co4 Co 0.940 0.907 0.500
Te1 Te 0.065 0.635 0.019
Te2 Te 0.435 0.635 0.519
Te3 Te 0.565 0.365 0.019
Te4 Te 0.935 0.365 0.519
N1 N 0.141 0.743 0.679
N2 N 0.359 0.743 0.179
N3 N 0.641 0.257 0.679
N4 N 0.859 0.257 0.179
O1 O 0.104 0.117 0.613
O2 O 0.396 0.117 0.113
O3 O 0.604 0.883 0.613
O4 O 0.896 0.883 0.113
```

---

## Q
DFT (PBE with a Hubbard U) results for crystalline CoTeNO at its relaxed geometry.

Geometry as CIF:
```
data_CoTeNO
_cell_length_a 6.076
_cell_length_b 6.076
_cell_length_c 3.427
_cell_angle_alpha 100.81
_cell_angle_beta 100.81
_cell_angle_gamma 94.80
_symmetry_space_group_name_H-M 'P 1'
_symmetry_Int_Tables_number 1
loop_
_symmetry_equiv_pos_as_xyz
'x,y,z'
loop_
_atom_site_label
_atom_site_type_symbol
_atom_site_fract_x
_atom_site_fract_y
_atom_site_fract_z
Co1 Co 0.000 0.000 0.000
Co2 Co 0.517 0.517 0.574
Te1 Te 0.043 0.409 0.090
Te2 Te 0.409 0.043 0.090
N1 N 0.369 0.369 0.944
N2 N 0.975 0.975 0.481
O1 O 0.461 0.827 0.623
O2 O 0.827 0.461 0.623
```

---

Relative energy of each structure, in meV/atom: P 0; Q 150.

---

## P
DFT (PBE with a Hubbard U) results for crystalline TlCoNO at its relaxed geometry.

Geometry as CIF:
```
data_TlCoNO
_cell_length_a 3.424
_cell_length_b 6.002
_cell_length_c 5.694
_cell_angle_alpha 90.00
_cell_angle_beta 90.00
_cell_angle_gamma 90.00
_symmetry_space_group_name_H-M 'P 1'
_symmetry_Int_Tables_number 1
loop_
_symmetry_equiv_pos_as_xyz
'x,y,z'
loop_
_atom_site_label
_atom_site_type_symbol
_atom_site_fract_x
_atom_site_fract_y
_atom_site_fract_z
Tl1 Tl 0.000 0.160 0.000
Tl2 Tl 0.000 0.840 0.500
Co1 Co 0.500 0.339 0.482
Co2 Co 0.500 0.661 0.982
N1 N 0.000 0.197 0.388
N2 N 0.000 0.803 0.888
O1 O 0.500 0.358 0.836
O2 O 0.500 0.642 0.336
```

---

## Q
DFT (PBE with a Hubbard U) results for crystalline TlCoNO at its relaxed geometry.

Geometry as CIF:
```
data_TlCoNO
_cell_length_a 3.925
_cell_length_b 3.925
_cell_length_c 8.087
_cell_angle_alpha 90.00
_cell_angle_beta 90.00
_cell_angle_gamma 90.00
_symmetry_space_group_name_H-M 'P 1'
_symmetry_Int_Tables_number 1
loop_
_symmetry_equiv_pos_as_xyz
'x,y,z'
loop_
_atom_site_label
_atom_site_type_symbol
_atom_site_fract_x
_atom_site_fract_y
_atom_site_fract_z
Tl1 Tl 0.250 0.250 0.140
Tl2 Tl 0.750 0.750 0.860
Co1 Co 0.250 0.750 0.500
Co2 Co 0.750 0.250 0.500
N1 N 0.250 0.250 0.411
N2 N 0.750 0.750 0.589
O1 O 0.250 0.750 0.000
O2 O 0.750 0.250 0.000
```

---

## R
DFT (PBE with a Hubbard U) results for crystalline TlCoNO at its relaxed geometry.

Geometry as CIF:
```
data_TlCoNO
_cell_length_a 5.879
_cell_length_b 7.188
_cell_length_c 5.457
_cell_angle_alpha 90.00
_cell_angle_beta 90.00
_cell_angle_gamma 90.00
_symmetry_space_group_name_H-M 'P 1'
_symmetry_Int_Tables_number 1
loop_
_symmetry_equiv_pos_as_xyz
'x,y,z'
loop_
_atom_site_label
_atom_site_type_symbol
_atom_site_fract_x
_atom_site_fract_y
_atom_site_fract_z
Tl1 Tl 0.054 0.155 0.000
Tl2 Tl 0.446 0.155 0.500
Tl3 Tl 0.554 0.845 0.000
Tl4 Tl 0.946 0.845 0.500
Co1 Co 0.091 0.600 0.994
Co2 Co 0.409 0.600 0.494
Co3 Co 0.591 0.400 0.994
Co4 Co 0.909 0.400 0.494
N1 N 0.108 0.587 0.637
N2 N 0.392 0.587 0.137
N3 N 0.608 0.413 0.637
N4 N 0.892 0.413 0.137
O1 O 0.054 0.146 0.566
O2 O 0.446 0.146 0.066
O3 O 0.554 0.854 0.566
O4 O 0.946 0.854 0.066
```

---

Relative energy of each structure, in meV/atom: P 0; Q 115; R 28.

---

## P
DFT (PBE with a Hubbard U) results for crystalline TlCoNO at its relaxed geometry.

Geometry as CIF:
```
data_TlCoNO
_cell_length_a 4.078
_cell_length_b 4.078
_cell_length_c 7.401
_cell_angle_alpha 90.00
_cell_angle_beta 90.00
_cell_angle_gamma 90.00
_symmetry_space_group_name_H-M 'P 1'
_symmetry_Int_Tables_number 1
loop_
_symmetry_equiv_pos_as_xyz
'x,y,z'
loop_
_atom_site_label
_atom_site_type_symbol
_atom_site_fract_x
_atom_site_fract_y
_atom_site_fract_z
Tl1 Tl 0.250 0.750 0.000
Tl2 Tl 0.750 0.250 0.000
Co1 Co 0.250 0.250 0.440
Co2 Co 0.750 0.750 0.560
N1 N 0.250 0.250 0.168
N2 N 0.750 0.750 0.832
O1 O 0.250 0.750 0.500
O2 O 0.750 0.250 0.500
```

---

## Q
DFT (PBE with a Hubbard U) results for crystalline TlCoNO at its relaxed geometry.

Geometry as CIF:
```
data_TlCoNO
_cell_length_a 3.574
_cell_length_b 5.926
_cell_length_c 5.585
_cell_angle_alpha 90.00
_cell_angle_beta 90.00
_cell_angle_gamma 90.00
_symmetry_space_group_name_H-M 'P 1'
_symmetry_Int_Tables_number 1
loop_
_symmetry_equiv_pos_as_xyz
'x,y,z'
loop_
_atom_site_label
_atom_site_type_symbol
_atom_site_fract_x
_atom_site_fract_y
_atom_site_fract_z
Tl1 Tl 0.000 0.188 0.000
Tl2 Tl 0.000 0.812 0.500
Co1 Co 0.500 0.341 0.506
Co2 Co 0.500 0.659 0.006
N1 N 0.500 0.355 0.861
N2 N 0.500 0.645 0.361
O1 O 0.000 0.192 0.418
O2 O 0.000 0.808 0.918
```

---

Relative energy of each structure, in meV/atom: P 307; Q 0.

---

## P
DFT (PBE with a Hubbard U) results for crystalline ZrCoNO at its relaxed geometry.

Geometry as CIF:
```
data_ZrCoNO
_cell_length_a 3.393
_cell_length_b 5.460
_cell_length_c 5.799
_cell_angle_alpha 90.00
_cell_angle_beta 90.00
_cell_angle_gamma 90.00
_symmetry_space_group_name_H-M 'P 1'
_symmetry_Int_Tables_number 1
loop_
_symmetry_equiv_pos_as_xyz
'x,y,z'
loop_
_atom_site_label
_atom_site_type_symbol
_atom_site_fract_x
_atom_site_fract_y
_atom_site_fract_z
Zr1 Zr 0.000 0.171 0.000
Zr2 Zr 0.000 0.829 0.500
Co1 Co 0.500 0.316 0.436
Co2 Co 0.500 0.684 0.936
N1 N 0.500 0.347 0.115
N2 N 0.500 0.653 0.615
O1 O 0.000 0.173 0.644
O2 O 0.000 0.827 0.144
```

---

## Q
DFT (PBE with a Hubbard U) results for crystalline ZrCoNO at its relaxed geometry.

Geometry as CIF:
```
data_ZrCoNO
_cell_length_a 6.192
_cell_length_b 7.142
_cell_length_c 4.523
_cell_angle_alpha 90.00
_cell_angle_beta 90.00
_cell_angle_gamma 90.00
_symmetry_space_group_name_H-M 'P 1'
_symmetry_Int_Tables_number 1
loop_
_symmetry_equiv_pos_as_xyz
'x,y,z'
loop_
_atom_site_label
_atom_site_type_symbol
_atom_site_fract_x
_atom_site_fract_y
_atom_site_fract_z
Zr1 Zr 0.062 0.146 0.000
Zr2 Zr 0.438 0.146 0.500
Zr3 Zr 0.562 0.854 0.000
Zr4 Zr 0.938 0.854 0.500
Co1 Co 0.097 0.647 0.994
Co2 Co 0.403 0.647 0.494
Co3 Co 0.597 0.353 0.994
Co4 Co 0.903 0.353 0.494
N1 N 0.092 0.127 0.500
N2 N 0.408 0.127 0.000
N3 N 0.592 0.873 0.500
N4 N 0.908 0.873 0.000
O1 O 0.080 0.597 0.503
O2 O 0.420 0.597 0.003
O3 O 0.580 0.403 0.503
O4 O 0.920 0.403 0.003
```

---

Relative energy of each structure, in meV/atom: P 57; Q 0.